Material: Cu2Au2I
Method: DFT, PBE
State: optimized geometry

Cell lengths 7.852, 7.852, 3.022 Å; angles 90.00, 90.00, 90.00 degrees
Atoms (fractional coordinates):
I  0.000  0.000  0.000
I  0.500  0.500  0.000
Au  0.367  0.867  0.000
Au  0.867  0.633  0.000
Au  0.633  0.133  0.000
Au  0.133  0.367  0.000
Cu  0.158  0.658  0.500
Cu  0.658  0.842  0.500
Cu  0.842  0.342  0.500
Cu  0.342  0.158  0.500

Properties
The formation energy without anion corrections is 0.30 eV/atom. The theoretical density is 11549 kg/m³. The calculation puts the total energy at -14.79 eV/f.u.